The following is a GGA-PBE calculation of a relaxed YScPd crystal, from Alexandria via LeMat-Bulk.

abc: 3.4453 3.4453 11.6829
angles: 90.00 90.00 90.00
Space group I4mm (No. 107)
Asymmetric unit:
Y (0.0000, 0.0000, 0.0000)
Sc (0.0000, 0.0000, 0.2820)
Pd (0.0000, 0.0000, 0.6618)

Computed properties:
ΔE_f = -1.6 eV per formula unit
Energy = -6.538 eV per atom